1.
Computed, not measured: crystalline Y2AlCrC at its relaxed geometry at the PBE level of DFT.

```
data_Y2AlCrC
_cell_length_a 4.968
_cell_length_b 4.968
_cell_length_c 3.900
_cell_angle_alpha 90.00
_cell_angle_beta 90.00
_cell_angle_gamma 90.00
_space_group_name_H-M_alt 'P 4/m m m'
_space_group_IT_number 123
_space_group_name_Hall '-P 4 2'
loop_
_atom_site_label
_atom_site_type_symbol
_atom_site_fract_x
_atom_site_fract_y
_atom_site_fract_z
Y1 Y 0.000 0.500 0.000
Al1 Al 0.000 0.000 0.500
Cr1 Cr 0.500 0.500 0.500
C1 C 0.500 0.500 0.000
```

=====

2.
Computed, not measured: crystalline AlZnCr2C at its relaxed geometry at the PBE level of DFT.

```
data_AlZnCr2C
_cell_length_a 4.644
_cell_length_b 4.644
_cell_length_c 4.435
_cell_angle_alpha 90.00
_cell_angle_beta 90.00
_cell_angle_gamma 90.00
_space_group_name_H-M_alt 'P 4/m m m'
_space_group_IT_number 123
_space_group_name_Hall '-P 4 2'
loop_
_atom_site_label
_atom_site_type_symbol
_atom_site_fract_x
_atom_site_fract_y
_atom_site_fract_z
Al1 Al 0.000 0.000 0.000
Zn1 Zn 0.000 0.000 0.500
Cr1 Cr 0.000 0.500 0.500
C1 C 0.500 0.500 0.000
```

=====

3.
Computed, not measured: crystalline CsAlC2 at its relaxed geometry at the PBE level of DFT.

```
data_CsAlC2
_cell_length_a 5.099
_cell_length_b 5.099
_cell_length_c 12.311
_cell_angle_alpha 90.00
_cell_angle_beta 90.00
_cell_angle_gamma 90.00
_space_group_name_H-M_alt 'I 41/a m d'
_space_group_IT_number 141
loop_
_space_group_symop_operation_xyz
'x,y,z'
'-x,-y,-z'
'-y+1/4,x+3/4,z+1/4'
'y+1/4,-x+3/4,-z+1/4'
'-x+1/2,-y,z+1/2'
'x+1/2,y,-z+1/2'
'y+1/4,-x+1/4,z+3/4'
'-y+1/4,x+1/4,-z+3/4'
'x,-y,-z'
'-x,y,z'
'-y+1/4,-x+1/4,-z+3/4'
'y+1/4,x+1/4,z+3/4'
'-x+1/2,y,-z+1/2'
'x+1/2,-y,z+1/2'
'y+1/4,x+3/4,-z+1/4'
'-y+1/4,-x+3/4,z+1/4'
'x+1/2,y+1/2,z+1/2'
'-x+1/2,-y+1/2,-z+1/2'
'-y+3/4,x+1/4,z+3/4'
'y+3/4,-x+1/4,-z+3/4'
'-x,-y+1/2,z'
'x,y+1/2,-z'
'y+3/4,-x+3/4,z+1/4'
'-y+3/4,x+3/4,-z+1/4'
'x+1/2,-y+1/2,-z+1/2'
'-x+1/2,y+1/2,z+1/2'
'-y+3/4,-x+3/4,-z+1/4'
'y+3/4,x+3/4,z+1/4'
'-x,y+1/2,-z'
'x,-y+1/2,z'
'y+3/4,x+1/4,-z+3/4'
'-y+3/4,-x+1/4,z+3/4'
loop_
_atom_site_label
_atom_site_type_symbol
_atom_site_fract_x
_atom_site_fract_y
_atom_site_fract_z
Cs1 Cs 0.000 0.250 0.375
Al1 Al 0.000 0.250 0.875
C1 C 0.000 0.000 0.000
```

=====

4.
Computed, not measured: crystalline CsAlHgC2 at its relaxed geometry at the PBE level of DFT.

```
data_CsAlHgC2
_cell_length_a 5.341
_cell_length_b 5.341
_cell_length_c 6.765
_cell_angle_alpha 90.00
_cell_angle_beta 90.00
_cell_angle_gamma 90.00
_space_group_name_H-M_alt 'P 4/m m m'
_space_group_IT_number 123
_space_group_name_Hall '-P 4 2'
loop_
_atom_site_label
_atom_site_type_symbol
_atom_site_fract_x
_atom_site_fract_y
_atom_site_fract_z
Cs1 Cs 0.000 0.000 0.000
Al1 Al 0.500 0.500 0.500
Hg1 Hg 0.000 0.000 0.500
C1 C 0.000 0.500 0.000
```

=====

5.
Computed, not measured: crystalline CsAlSbC2 at its relaxed geometry at the PBE level of DFT.

```
data_CsAlSbC2
_cell_length_a 4.322
_cell_length_b 4.322
_cell_length_c 5.808
_cell_angle_alpha 90.00
_cell_angle_beta 90.00
_cell_angle_gamma 90.00
_space_group_name_H-M_alt 'P 4/m m m'
_space_group_IT_number 123
_space_group_name_Hall '-P 4 2'
loop_
_atom_site_label
_atom_site_type_symbol
_atom_site_fract_x
_atom_site_fract_y
_atom_site_fract_z
Cs1 Cs 0.000 0.000 0.000
Al1 Al 0.000 0.000 0.500
Sb1 Sb 0.500 0.500 0.000
C1 C 0.000 0.500 0.500
```

=====

6.
Computed, not measured: crystalline Al2CuC at its relaxed geometry at the PBE level of DFT.

```
data_Al2CuC
_cell_length_a 5.652
_cell_length_b 5.652
_cell_length_c 7.474
_cell_angle_alpha 90.00
_cell_angle_beta 90.00
_cell_angle_gamma 90.00
_space_group_name_H-M_alt 'I -4 2 d'
_space_group_IT_number 122
_space_group_name_Hall 'I -4 2bw'
loop_
_atom_site_label
_atom_site_type_symbol
_atom_site_fract_x
_atom_site_fract_y
_atom_site_fract_z
Al1 Al 0.168 0.250 0.125
Cu1 Cu 0.000 0.000 0.500
C1 C 0.000 0.000 0.000
```

=====

7.
Computed, not measured: crystalline AlCuC at its relaxed geometry at the PBE level of DFT.

```
data_AlCuC
_cell_length_a 3.684
_cell_length_b 3.840
_cell_length_c 5.336
_cell_angle_alpha 90.00
_cell_angle_beta 110.02
_cell_angle_gamma 90.00
_space_group_name_H-M_alt 'P 1 21 1'
_space_group_IT_number 4
_space_group_name_Hall 'P 2yb'
loop_
_atom_site_label
_atom_site_type_symbol
_atom_site_fract_x
_atom_site_fract_y
_atom_site_fract_z
Al1 Al 0.250 0.000 0.000
Cu1 Cu 0.194 0.751 0.500
C1 C 0.165 0.500 0.829
```

=====

8.
Computed, not measured: crystalline Al3CuC at its relaxed geometry at the PBE level of DFT.

```
data_Al3CuC
_cell_length_a 4.015
_cell_length_b 4.015
_cell_length_c 4.015
_cell_angle_alpha 90.00
_cell_angle_beta 90.00
_cell_angle_gamma 90.00
_space_group_name_H-M_alt 'P m -3 m'
_space_group_IT_number 221
_space_group_name_Hall '-P 4 2 3'
loop_
_atom_site_label
_atom_site_type_symbol
_atom_site_fract_x
_atom_site_fract_y
_atom_site_fract_z
Al1 Al 0.000 0.000 0.500
Cu1 Cu 0.500 0.500 0.500
C1 C 0.000 0.000 0.000
```

Calculated values
The value obtained for the excess energy over the best structure of this formula in the dataset is 0.000 eV/atom.

=====

Values of calculated total energy, in order: -7.37 -4.65 -4.39 -1.73 -3.22 -4.85 -5.39 -4.63, all in eV/atom.